# PBE HfW2Au, relaxed
data_HfW2Au
_cell_length_a 3.869
_cell_length_b 3.869
_cell_length_c 20.404
_cell_angle_alpha 90.00
_cell_angle_beta 90.00
_cell_angle_gamma 90.00
_space_group_name_H-M_alt 'I -4 2 d'
_space_group_IT_number 122
_space_group_name_Hall 'I -4 2bw'
loop_
_atom_site_label
_atom_site_fract_x
_atom_site_fract_y
_atom_site_fract_z
_atom_site_occupancy
Hf1 0.000 0.000 0.000 1
W1 0.238 0.250 0.125 1
Au1 0.000 0.000 0.500 1
# DOS at the Fermi energy = 6.7 states/eV per cell
# Distance to the lowest polymorph of the same formula = 0.021 eV per atom
# Spin magnetization = 0.00 μB/f.u.
# Energy relative to the elements = 572.1 meV per atom